Below is an optimized crystal structure of AcDyO2, with properties calculated at the PBE level.

Values from the calculation:
As for the uncorrected formation energy: -1061 kJ/mol of formula units. Its density of states at the Fermi level is 0.78 states/eV per cell.

Cell: 3.571 3.571 6.489 Å, 74.03 74.03 60.00°
Atoms (fractional coordinates):
1 Ac 0.500 0.500 0.500
2 O 0.729 0.729 0.814
3 O 0.271 0.271 0.186
4 Dy 0.000 0.000 0.000

***

Below is an optimized crystal structure of AcDyOsO6, with properties calculated at the PBE level.

Values from the calculation:
As for the uncorrected formation energy: -1995 kJ/mol of formula units. Its density of states at the Fermi level is 7.89 states/eV per cell.

Cell: 5.818 5.818 8.939 Å, 90.00 90.00 120.00°
Each line ends with the local moment (μB).
Atoms (fractional coordinates):
1 Ac 0.333 0.667 0.250  0.03
2 Ac 0.667 0.333 0.750  0.03
3 Dy 0.000 0.000 0.000  0.06
4 Dy 0.000 0.000 0.500  0.06
5 Os 0.667 0.333 0.250  1.27
6 Os 0.333 0.667 0.750  1.27
7 O 0.695 0.624 0.127  0.08
8 O 0.928 0.305 0.127  0.08
9 O 0.305 0.928 0.627  0.08
10 O 0.072 0.695 0.873  0.08
11 O 0.376 0.305 0.373  0.08
12 O 0.928 0.624 0.373  0.08
13 O 0.624 0.928 0.873  0.08
14 O 0.695 0.072 0.373  0.08
15 O 0.072 0.376 0.627  0.08
16 O 0.376 0.072 0.127  0.08
17 O 0.624 0.695 0.627  0.08
18 O 0.305 0.376 0.873  0.08

***

Below is an optimized crystal structure of AcDy2OsO8, with properties calculated at the PBE level.

Values from the calculation:
As for the uncorrected formation energy: -2895 kJ/mol of formula units. Its density of states at the Fermi level is 4.29 states/eV per cell.

Cell: 5.118 5.115 7.044 Å, 90.00 90.00 88.44°
Each line ends with the local moment (μB).
Atoms (fractional coordinates):
1 Ac 0.000 0.000 0.500  0.01
2 Dy 0.500 0.500 0.748  0.03
3 Dy 0.500 0.500 0.252  0.03
4 Os 0.000 0.000 0.000  0.68
5 O 0.188 0.811 0.196  0.05
6 O 0.741 0.742 0.000  0.01
7 O 0.812 0.189 0.196  0.05
8 O 0.812 0.189 0.804  0.05
9 O 0.259 0.258 0.000  0.01
10 O 0.188 0.811 0.804  0.05
11 O 0.676 0.678 0.500  0.00
12 O 0.324 0.322 0.500  0.00

***

Below is an optimized crystal structure of AcDyPa2O8, with properties calculated at the PBE level.

Values from the calculation:
As for the uncorrected formation energy: -4219 kJ/mol of formula units. Its density of states at the Fermi level is 0.00 states/eV per cell.

Cell: 5.548 5.548 6.724 Å, 114.36 114.36 90.00°
Atoms (fractional coordinates):
1 Ac 0.750 0.250 0.500
2 Dy 0.000 0.000 0.000
3 Pa 0.500 0.500 0.000
4 Pa 0.250 0.750 0.500
5 O 0.879 0.850 0.242
6 O 0.363 0.392 0.242
7 O 0.608 0.637 0.758
8 O 0.150 0.120 0.758
9 O 0.880 0.392 0.242
10 O 0.363 0.850 0.242
11 O 0.150 0.637 0.758
12 O 0.608 0.121 0.758

***

Below is an optimized crystal structure of AcDyPb2O8, with properties calculated at the PBE level.

Values from the calculation:
As for the uncorrected formation energy: -1993 kJ/mol of formula units. Its density of states at the Fermi level is 9.43 states/eV per cell.

Cell: 5.610 5.610 6.987 Å, 113.67 113.67 90.00°
Each line ends with the local moment (μB).
Atoms (fractional coordinates):
1 Ac 0.000 0.000 0.000  0.04
2 Dy 0.750 0.250 0.500  -0.02
3 Pb 0.500 0.500 0.000  -0.02
4 Pb 0.250 0.750 0.500  -0.02
5 O 0.786 0.860 0.203  0.22
6 O 0.417 0.343 0.203  0.22
7 O 0.594 0.630 0.682  0.22
8 O 0.089 0.053 0.682  0.22
9 O 0.947 0.406 0.318  0.22
10 O 0.370 0.911 0.318  0.22
11 O 0.140 0.583 0.797  0.22
12 O 0.657 0.214 0.797  0.22

***

Below is an optimized crystal structure of Ac2DyPbO6, with properties calculated at the PBE level.

Values from the calculation:
As for the uncorrected formation energy: -2656 kJ/mol of formula units. Its density of states at the Fermi level is 9.08 states/eV per cell.

Cell: 6.070 6.320 8.813 Å, 90.00 90.32 90.00°
Atoms (fractional coordinates):
1 Ac 0.018 0.945 0.248
2 Ac 0.518 0.555 0.748
3 Ac 0.982 0.055 0.752
4 Ac 0.482 0.445 0.252
5 Dy 0.500 0.000 0.000
6 Dy 0.000 0.500 0.500
7 Pb 0.500 0.000 0.500
8 Pb 0.000 0.500 0.000
9 O 0.310 0.706 0.074
10 O 0.810 0.794 0.574
11 O 0.690 0.294 0.926
12 O 0.190 0.206 0.426
13 O 0.299 0.690 0.436
14 O 0.799 0.810 0.936
15 O 0.701 0.310 0.564
16 O 0.201 0.190 0.064
17 O 0.871 0.561 0.259
18 O 0.371 0.939 0.759
19 O 0.129 0.439 0.741
20 O 0.629 0.061 0.241

***

- Which value of uncorrected formation energy does entry 2 give?
  -1995 kJ/mol of formula units